[1]
Compound: Ca4CeDy3Te8
Source: the Alexandria database
Functional: PBE-GGA
Structure: relaxed

Results
The value obtained for the uncorrected formation energy is -23.23 eV per formula unit. For the uncorrected energy, the calculation gives -76.1 eV/f.u.

```
data_Ca4CeDy3Te8
_cell_length_a 8.8187
_cell_length_b 8.8187
_cell_length_c 22.1255
_cell_angle_alpha 90.00
_cell_angle_beta 90.00
_cell_angle_gamma 120.00
_space_group_name_H-M_alt 'R -3 m'
_space_group_IT_number 166
_space_group_name_Hall '-R 3 2"'
loop_
_atom_site_label
_atom_site_type_symbol
_atom_site_fract_x
_atom_site_fract_y
_atom_site_fract_z
Ca1 Ca 0.0000 0.0000 0.0000
Ca2 Ca 0.0000 0.5000 0.0000
Ce1 Ce 0.0000 0.0000 0.5000
Dy1 Dy 0.0000 0.5000 0.5000
Te1 Te 0.0000 0.0000 0.2480
Te2 Te 0.0061 0.5030 0.7504
```

[2]
Compound: Ca2Ce3DyTe6
Source: the Alexandria database
Functional: PBE-GGA
Structure: relaxed

Results
The value obtained for the uncorrected formation energy is -17.00 eV per formula unit. For the uncorrected energy, the calculation gives -62.3 eV/f.u.

```
data_Ca2Ce3DyTe6
_cell_length_a 7.6960
_cell_length_b 13.3192
_cell_length_c 7.8549
_cell_angle_alpha 90.00
_cell_angle_beta 109.05
_cell_angle_gamma 90.00
_space_group_name_H-M_alt 'C 1 2/m 1'
_space_group_IT_number 12
loop_
_space_group_symop_operation_xyz
'x,y,z'
'-x,-y,-z'
'-x,y,-z'
'x,-y,z'
'x+1/2,y+1/2,z'
'-x+1/2,-y+1/2,-z'
'-x+1/2,y+1/2,-z'
'x+1/2,-y+1/2,z'
loop_
_atom_site_label
_atom_site_type_symbol
_atom_site_fract_x
_atom_site_fract_y
_atom_site_fract_z
Ca1 Ca 0.0000 0.1663 0.0000
Ce1 Ce 0.0000 0.0000 0.5000
Ce2 Ce 0.0000 0.3311 0.5000
Dy1 Dy 0.0000 0.5000 0.0000
Te1 Te 0.2450 0.3349 0.2401
Te2 Te 0.2489 0.5000 0.7571
```

[3]
Compound: Ca3Ce2DyTe6
Source: the Alexandria database
Functional: PBE-GGA
Structure: relaxed

Results
The value obtained for the uncorrected formation energy is -17.48 eV per formula unit. For the uncorrected energy, the calculation gives -58.8 eV/f.u.

```
data_Ca3Ce2DyTe6
_cell_length_a 19.6546
_cell_length_b 4.4387
_cell_length_c 9.0482
_cell_angle_alpha 90.00
_cell_angle_beta 104.70
_cell_angle_gamma 90.00
_space_group_name_H-M_alt 'C 1 2/m 1'
_space_group_IT_number 12
loop_
_space_group_symop_operation_xyz
'x,y,z'
'-x,-y,-z'
'-x,y,-z'
'x,-y,z'
'x+1/2,y+1/2,z'
'-x+1/2,-y+1/2,-z'
'-x+1/2,y+1/2,-z'
'x+1/2,-y+1/2,z'
loop_
_atom_site_label
_atom_site_type_symbol
_atom_site_fract_x
_atom_site_fract_y
_atom_site_fract_z
Ca1 Ca 0.0000 0.0000 0.0000
Ca2 Ca 0.1678 0.5000 0.3347
Ce1 Ce 0.1680 0.5000 0.8363
Dy1 Dy 0.0000 0.0000 0.5000
Te1 Te 0.0012 0.5000 0.2565
Te2 Te 0.1642 0.0000 0.0882
Te3 Te 0.1642 0.0000 0.5785
```